Record 1
The following is a PBE calculation of Li2SiBr after structural relaxation, from Alexandria.

Properties
The calculation puts the energy above the most stable polymorph in this dataset at 41 meV per atom. Its calculated total energy is -3.127 eV/atom. For the density of states at the Fermi level, the calculation gives 0.3791 states/eV per atom.

a = 4.5283 Å, b = 4.5421 Å, c = 7.2082 Å
α = 90.00°, β = 90.00°, γ = 90.00°
Space group Cmmm (No. 65)
Asymmetric unit:
Li 0.0000 0.0000 0.2319 [4 per cell]
Si 0.0000 0.5000 0.5000 [2 per cell]
Br 0.0000 0.5000 0.0000 [2 per cell]

=====

Record 2
The following is a PBE calculation of Li2SiBr6 after structural relaxation, from Alexandria.

Properties
Its calculated total energy is -3.107 eV/atom. For the density of states at the Fermi level, the calculation gives 0.0000 states/eV per atom.

a = 6.5533 Å, b = 7.2120 Å, c = 12.1449 Å
α = 90.00°, β = 118.35°, γ = 90.00°
Space group P2_1/c (No. 14)
Asymmetric unit:
Li 0.1278 0.1269 0.1485 [4 per cell]
Si 0.5000 0.0000 0.0000 [2 per cell]
Br 0.1613 0.0492 0.7901 [4 per cell]
Br 0.2569 0.6793 0.5627 [4 per cell]
Br 0.4061 0.2220 0.5736 [4 per cell]

=====

Record 3
The following is a PBE calculation of LiSiBr2 after structural relaxation, from Alexandria.

Properties
The calculation puts the energy above the most stable polymorph in this dataset at 221 meV per atom. Its calculated total energy is -2.906 eV/atom. For the density of states at the Fermi level, the calculation gives 0.4432 states/eV per atom.

a = 5.0326 Å, b = 5.0326 Å, c = 3.4620 Å
α = 90.00°, β = 90.00°, γ = 90.00°
Space group P4/mmm (No. 123)
Asymmetric unit:
Li 0.0000 0.0000 0.0000 [1 per cell]
Si 0.5000 0.5000 0.0000 [1 per cell]
Br 0.0000 0.5000 0.5000 [2 per cell]

=====

Computed mass density (g cm⁻³) in order:
2.7; 3.4; 3.7
Computed ΔE_f (raw) (meV per atom) in order:
-396; -964; -235